Record 1
First-principles (GGA-PBE) data for crystalline Y2ScSb at its relaxed geometry, as listed in the Alexandria database.

The calculation puts the density of states at the Fermi level at 2.542 states/eV per cell. Its density is 5.20 g cm⁻³. For the energy relative to the elements, uncorrected, the calculation gives -464 meV/atom.

It has space group P4mm (No. 99), with a = 3.8555 Å, b = 3.8555 Å, c = 7.4057 Å, α = 90.00°, β = 90.00° and γ = 90.00°. Symmetry generates all atoms from Y at (0.0000, 0.0000, 0.0000), Y at (0.5000, 0.5000, 0.2978), Sc at (0.5000, 0.5000, 0.7303) and Sb at (0.0000, 0.0000, 0.5428).

Record 2
First-principles (GGA-PBE) data for crystalline Dy2PuPaP4 at its relaxed geometry, as listed in the Alexandria database.

The calculation puts the density of states at the Fermi level at 11.086 states/eV per cell. The formation energy comes out at -1439 meV per atom. Its density is 8.53 g cm⁻³.

It has space group P2/m (No. 10), with a = 6.9043 Å, b = 4.0007 Å, c = 6.9098 Å, α = 90.00°, β = 109.56° and γ = 90.00°. Symmetry generates all atoms from Dy at (0.0000, 0.0000, 0.0000), Dy at (0.0000, 0.5000, 0.5000), Pu at (0.5000, 0.0000, 0.5000), Pa at (0.5000, 0.5000, 0.0000), P at (0.2536, 0.0000, 0.7538) and P at (0.2547, 0.5000, 0.2492).

Record 3
First-principles (GGA-PBE) data for crystalline Ac2NiGe4Pd3 at its relaxed geometry, as listed in the Alexandria database.

The calculation puts the density of states at the Fermi level at 6.972 states/eV per cell. The formation energy comes out at -757 meV per atom. Its density is 9.17 g cm⁻³.

It has space group P-4m2 (No. 115), with a = 4.4444 Å, b = 4.4444 Å, c = 10.2859 Å, α = 90.00°, β = 90.00° and γ = 90.00°. Symmetry generates all atoms from Ac at (0.0000, 0.5000, 0.2476), Ni at (0.5000, 0.5000, 0.0000), Ge at (0.0000, 0.0000, 0.5000), Ge at (0.0000, 0.5000, 0.8824), Ge at (0.5000, 0.5000, 0.5000), Pd at (0.0000, 0.0000, 0.0000) and Pd at (0.0000, 0.5000, 0.6314).

Record 4
First-principles (GGA-PBE) data for crystalline Be2GeO at its relaxed geometry, as listed in the Alexandria database.

The calculation puts the density of states at the Fermi level at 4.940 states/eV per cell. For the energy above the most stable polymorph in this dataset, the calculation gives 1418 meV/atom. Its density is 3.91 g cm⁻³. For the energy relative to the elements, uncorrected, the calculation gives 583 meV/atom.

It has space group Fm-3m (No. 225), with a = 5.6575 Å, b = 5.6575 Å, c = 5.6575 Å, α = 90.00°, β = 90.00° and γ = 90.00°. Symmetry generates all atoms from Be at (0.2500, 0.2500, 0.2500), Ge at (0.0000, 0.0000, 0.0000) and O at (0.0000, 0.0000, 0.5000).